Model w:
# HgBi2Pt2 (PBE, relaxed)
data_HgBi2Pt2
_cell_length_a 5.668
_cell_length_b 4.197
_cell_length_c 10.314
_cell_angle_alpha 90.00
_cell_angle_beta 95.78
_cell_angle_gamma 90.00
_symmetry_space_group_name_H-M 'P 1 21/m 1'
_symmetry_Int_Tables_number 11
_symmetry_space_group_name_Hall '-P 2yb'
loop_
_atom_site_label
_atom_site_type_symbol
_atom_site_fract_x
_atom_site_fract_y
_atom_site_fract_z
_atom_site_occupancy
Hg1 Hg 0.114 0.250 0.293 1
Bi1 Bi 0.247 0.250 0.957 1
Bi2 Bi 0.400 0.250 0.627 1
Pt1 Pt 0.173 0.750 0.492 1
Pt2 Pt 0.257 0.750 0.133 1
# Density of states at the Fermi level   3.75 states/eV/cell
# Magnetic moment   0.000 μB/cell

***

Model x:
# HgBi2Pt2 (PBE, relaxed)
data_HgBi2Pt2
_cell_length_a 8.372
_cell_length_b 8.372
_cell_length_c 3.370
_cell_angle_alpha 90.00
_cell_angle_beta 90.00
_cell_angle_gamma 90.00
_symmetry_space_group_name_H-M 'P 4/m b m'
_symmetry_Int_Tables_number 127
_symmetry_space_group_name_Hall '-P 4 2ab'
loop_
_atom_site_label
_atom_site_type_symbol
_atom_site_fract_x
_atom_site_fract_y
_atom_site_fract_z
_atom_site_occupancy
Hg1 Hg 0.000 0.000 0.000 1
Bi1 Bi 0.164 0.336 0.000 1
Pt1 Pt 0.124 0.624 0.500 1
# Density of states at the Fermi level   3.58 states/eV/cell
# Magnetic moment   0.000 μB/cell

***

Model y:
# HgBi2Pt2 (PBE, relaxed)
data_HgBi2Pt2
_cell_length_a 7.552
_cell_length_b 7.552
_cell_length_c 3.995
_cell_angle_alpha 90.00
_cell_angle_beta 90.00
_cell_angle_gamma 90.00
_symmetry_space_group_name_H-M 'P 4/m b m'
_symmetry_Int_Tables_number 127
_symmetry_space_group_name_Hall '-P 4 2ab'
loop_
_atom_site_label
_atom_site_type_symbol
_atom_site_fract_x
_atom_site_fract_y
_atom_site_fract_z
_atom_site_occupancy
Hg1 Hg 0.000 0.000 0.000 1
Bi1 Bi 0.161 0.339 0.500 1
Pt1 Pt 0.136 0.636 0.000 1
# Density of states at the Fermi level   4.92 states/eV/cell
# Magnetic moment   0.000 μB/cell

***

The winner here is model w, beating the second structure by 0.087 eV/atom.